[1]
A plane-wave DFT calculation with PBE was carried out for AcCoPt after structural relaxation.

Summary:
uncorrected energy	-0.21326	hartree per atom
ΔE_f	-0.05	eV per atom

Lattice parameters (Å, degrees): 6.7834 6.7834 6.7834 90.00 90.00 90.00
Last column: nearest neighbours and their distance in Å.
Space group F-43m (No. 216)
Symmetry-distinct sites (fractional):
Ac1 0.0000 0.0000 0.0000 [4 per cell]  4 Pt 2.94
Co1 0.0000 0.0000 0.5000 [4 per cell]  4 Pt 2.94
Pt1 0.2500 0.2500 0.2500 [4 per cell]  4 Ac 2.94, 4 Co 2.94

[2]
A plane-wave DFT calculation with PBE was carried out for RbAcCo after structural relaxation.

Summary:
uncorrected energy	-0.11816	hartree per atom

Lattice parameters (Å, degrees): 7.3413 7.3413 7.3413 90.00 90.00 90.00
Last column: nearest neighbours and their distance in Å.
Space group F-43m (No. 216)
Symmetry-distinct sites (fractional):
Rb1 0.0000 0.0000 0.0000 [4 per cell]  4 Co 3.18
Ac1 0.0000 0.0000 0.5000 [4 per cell]  4 Co 3.18
Co1 0.2500 0.2500 0.7500 [4 per cell]  4 Ac 3.18, 4 Rb 3.18

[3]
A plane-wave DFT calculation with PBE was carried out for AcCoSb after structural relaxation.

Summary:
uncorrected energy	-0.17260	hartree per atom
distance to the lowest polymorph of the same formula	0.8173	eV/atom

Lattice parameters (Å, degrees): 7.3759 7.3759 7.3759 90.00 90.00 90.00
Last column: nearest neighbours and their distance in Å.
Space group F-43m (No. 216)
Symmetry-distinct sites (fractional):
Ac1 0.0000 0.0000 0.0000 [4 per cell]  4 Sb 3.19, 4 Co 3.19
Co1 0.2500 0.2500 0.7500 [4 per cell]  4 Ac 3.19
Sb1 0.2500 0.2500 0.2500 [4 per cell]  4 Ac 3.19

[4]
A plane-wave DFT calculation with PBE was carried out for AcCoSb after structural relaxation.

Summary:
uncorrected energy	-0.20263	hartree per atom
distance to the lowest polymorph of the same formula	0.0000	eV/atom

Lattice parameters (Å, degrees): 6.7942 6.7942 6.7942 90.00 90.00 90.00
Last column: nearest neighbours and their distance in Å.
Space group F-43m (No. 216)
Symmetry-distinct sites (fractional):
Ac1 0.0000 0.0000 0.0000 [4 per cell]  4 Co 2.94
Co1 0.2500 0.2500 0.2500 [4 per cell]  4 Ac 2.94, 4 Sb 2.94
Sb1 0.0000 0.0000 0.5000 [4 per cell]  4 Co 2.94

[5]
A plane-wave DFT calculation with PBE was carried out for Ac2CoSi3 after structural relaxation.

Summary:
uncorrected energy	-0.21646	hartree per atom

Lattice parameters (Å, degrees): 8.3022 9.1381 14.3159 90.00 90.00 90.00
Last column: nearest neighbours and their distance in Å.
Space group Fmmm (No. 69)
Symmetry-distinct sites (fractional):
Ac1 0.0000 0.2479 0.0000 [8 per cell]  10 Si 3.27-3.37, 2 Co 3.29
Ac2 0.2500 0.2500 0.2500 [8 per cell]  8 Si 3.28, 4 Co 3.31
Co1 0.0000 0.0000 0.1664 [8 per cell]  3 Si 2.32
Si1 0.0000 0.0000 0.3281 [8 per cell]  1 Co 2.32, 2 Si 2.46
Si2 0.2432 0.0000 0.0859 [16 per cell]  1 Co 2.32, 2 Si 2.46

[6]
A plane-wave DFT calculation with PBE was carried out for SrAc3Co after structural relaxation.

Summary:
uncorrected energy	-0.15520	hartree per atom

Lattice parameters (Å, degrees): 5.8285 5.8285 5.8285 90.00 90.00 90.00
Last column: nearest neighbours and their distance in Å.
Space group Pm-3m (No. 221)
Symmetry-distinct sites (fractional):
Sr1 0.0000 0.0000 0.0000 [1 per cell]  12 Ac 4.12
Ac1 0.0000 0.5000 0.5000 [3 per cell]  2 Co 2.91
Co1 0.5000 0.5000 0.5000 [1 per cell]  6 Ac 2.91